CsNaErF6 | Alexandria | PBE | relaxed; energy relative to the elements, uncorrected = -3.014 eV per atom; volume = 362.0 Å³/cell; ρ = 4.0 g/cm3; M_tot = 1.007 μB per formula unit; D(E_F) = 0.65 states/eV/atom
1.0
-3.676 4.134 5.955
3.676 -4.134 5.955
3.676 4.134 -5.955
Cs Na Er F
2 2 2 12
direct
0.375 0.125 0.250
0.625 0.875 0.750
0.000 0.000 0.500
0.000 0.500 0.000
0.000 0.500 0.500
0.500 0.500 0.000
0.080 0.417 0.250
0.080 0.830 0.663
0.123 0.873 0.250
0.307 0.557 0.750
0.332 0.170 0.750
0.332 0.583 0.163
0.668 0.417 0.837
0.668 0.830 0.250
0.693 0.443 0.250
0.877 0.127 0.750
0.920 0.170 0.337
0.920 0.583 0.750